Th5Tl3 | PBE | optimized geometry

**Crystal system**: orthorhombic
**N(E_F)**: 1.1762 states/eV/atom

Cell and atoms, written as POSCAR:
```
Th5Tl3
1.0
-4.470 -2.267 -0.655
-0.350 -1.271 6.794
-3.174 6.134 0.427
Th Tl
5 3
Direct
0.000 0.000 0.000
0.000 0.000 0.500
0.000 0.500 0.000
0.500 0.256 0.256
0.500 0.744 0.744
0.000 0.500 0.500
0.500 0.759 0.241
0.500 0.241 0.759
```

Th3Tl | PBE | optimized geometry

**Crystal system**: orthorhombic
**N(E_F)**: 1.2696 states/eV/atom

Cell and atoms, written as POSCAR:
```
Th3Tl
1.0
-1.396 -2.552 2.056
4.885 0.210 3.577
-4.274 5.151 0.405
Tl Th
1 3
Direct
0.000 0.016 0.000
0.265 0.593 0.530
0.500 0.494 0.000
0.735 0.063 0.470
```

Th2Tl | PBE | optimized geometry

**Crystal system**: orthorhombic
**N(E_F)**: 1.2699 states/eV/atom

Cell and atoms, written as POSCAR:
```
Th2Tl
1.0
-0.232 -4.011 -2.209
3.820 1.435 -3.007
5.298 -1.102 6.204
Th Tl
4 2
Direct
0.756 0.750 0.513
0.244 0.250 0.487
0.075 0.750 0.149
0.925 0.250 0.851
0.409 0.750 0.819
0.591 0.250 0.181
```

Th5Tl3 | PBE | optimized geometry

**Crystal system**: orthorhombic
**N(E_F)**: 1.2003 states/eV/atom

Cell and atoms, written as POSCAR:
```
Th5Tl3
1.0
0.956 5.692 1.103
-2.811 0.054 -5.160
-5.372 -2.481 5.465
Th Tl
5 3
Direct
0.626 0.126 0.252
0.000 0.000 0.000
0.374 0.874 0.748
0.126 0.626 0.252
0.874 0.374 0.748
0.752 0.752 0.505
0.500 0.500 0.000
0.248 0.248 0.495
```

Th5Tl | PBE | optimized geometry

**Crystal system**: tetragonal
**N(E_F)**: 1.2859 states/eV/atom

Cell and atoms, written as POSCAR:
```
Th5Tl
1.0
4.256 0.000 0.000
0.000 4.256 0.000
0.000 0.000 10.508
Th Tl
5 1
Direct
0.000 0.000 0.656
0.500 0.500 0.836
0.000 0.000 0.000
0.500 0.500 0.164
0.000 0.000 0.344
0.500 0.500 0.500
```

Th5Tl3 | PBE | optimized geometry

**Crystal system**: hexagonal
**N(E_F)**: 1.5707 states/eV/atom

Cell and atoms, written as POSCAR:
```
Th5Tl3
1.0
4.767 -8.257 0.000
4.767 8.257 0.000
0.000 0.000 6.383
Th Tl
10 6
Direct
0.333 0.667 0.000
0.667 0.333 0.000
0.667 0.333 0.500
0.333 0.667 0.500
0.000 0.240 0.250
0.000 0.760 0.750
0.760 0.760 0.250
0.240 0.240 0.750
0.240 0.000 0.250
0.760 0.000 0.750
0.000 0.608 0.250
0.000 0.392 0.750
0.392 0.392 0.250
0.608 0.608 0.750
0.608 0.000 0.250
0.392 0.000 0.750
```

Th3Tl | PBE | optimized geometry

**Crystal system**: orthorhombic
**N(E_F)**: 1.2947 states/eV/atom

Cell and atoms, written as POSCAR:
```
Th3Tl
1.0
-1.865 1.646 -2.490
-0.704 -4.975 -2.761
-5.102 -1.023 3.145
Tl Th
1 3
Direct
0.000 0.500 0.347
0.000 0.000 0.988
0.500 0.000 0.475
0.500 0.500 0.857
```

Th2Tl3 | PBE | optimized geometry

**Crystal system**: tetragonal
**N(E_F)**: 0.8242 states/eV/atom

Cell and atoms, written as POSCAR:
```
Th2Tl3
1.0
4.786 0.000 0.000
0.000 7.807 0.000
0.000 0.000 7.807
Th Tl
4 6
Direct
0.500 0.695 0.877
0.500 0.123 0.695
0.500 0.877 0.305
0.500 0.305 0.123
0.000 0.397 0.811
0.000 0.811 0.603
0.000 0.603 0.189
0.000 0.189 0.397
0.500 0.500 0.500
0.000 0.000 0.000
```

| no. | energy relative to the elements (eV/atom) |
| --- | --- |
| 1 | -0.068 |
| 2 | -0.040 |
| 3 | -0.046 |
| 4 | -0.053 |
| 5 | 0.055 |
| 6 | -0.051 |
| 7 | -0.021 |
| 8 | -0.133 |